DFT (PBE with a Hubbard U) results for crystalline ZrVGeO6 at its relaxed geometry.

Cell: 4.657 4.657 9.220 Å, 90.00 90.00 90.00°
Element x y z (fractional)
Zr (0.000, 0.000, 0.000)
Zr (0.500, 0.500, 0.500)
V (0.000, 0.000, 0.331)
V (0.500, 0.500, 0.831)
Ge (0.000, 0.000, 0.662)
Ge (0.500, 0.500, 0.162)
O (0.182, 0.182, 0.499)
O (0.204, 0.204, 0.817)
O (0.208, 0.208, 0.168)
O (0.292, 0.708, 0.668)
O (0.296, 0.704, 0.317)
O (0.318, 0.682, 0.999)
O (0.682, 0.318, 0.999)
O (0.704, 0.296, 0.317)
O (0.708, 0.292, 0.668)
O (0.792, 0.792, 0.168)
O (0.796, 0.796, 0.817)
O (0.818, 0.818, 0.499)

calculated total energy = -7.85 eV/atom